# Zr2MnTl

A geometry-optimized Zr2MnTl structure (GGA-PBE, Alexandria).

POSCAR file:
```
Zr2MnTl
1.0
-3.1421 -3.1383 1.0297
0.2722 -1.2771 -3.0616
4.0679 -3.8483 0.6843
Mn Tl Zr
1 1 2
Direct
0.0000 0.6652 0.4521
0.5000 0.5819 0.7696
0.0000 0.0018 0.9672
0.5000 0.2511 0.3111
```

Results
- ΔE_f (kJ/mol of atoms) = 8.59
- space group = Pm